Record 1
VASP calculation (PBE) on crystalline Ac12Sn3Ge5 at its relaxed geometry.

The energy relative to the elements comes out at -368 meV per atom. For the total energy, the calculation gives -91.76 eV/f.u.

a b c (Å): 18.9236 18.9236 18.9236
angles (deg): 90.00 90.00 90.00
Space group Ia-3d (No. 230)
Symmetry-distinct sites (fractional):
Ac (0.0217, 0.0654, 0.6507) (multiplicity 96)
Sn (0.0000, 0.2500, 0.1250) (multiplicity 24)
Ge (0.0000, 0.0000, 0.0000) (multiplicity 16)
Ge (0.0000, 0.2500, 0.3750) (multiplicity 24)



Record 2
VASP calculation (PBE) on crystalline Ac2Sn5Ge at its relaxed geometry.

The energy relative to the elements comes out at -480 meV per atom. For the total energy, the calculation gives -36.69 eV/f.u.

a b c (Å): 6.8548 6.8548 9.9806
angles (deg): 90.00 90.00 90.00
Space group I4mm (No. 107)
Symmetry-distinct sites (fractional):
Ac (0.0000, 0.5000, 0.0000) (multiplicity 4)
Sn (0.0000, 0.0000, 0.0044) (multiplicity 2)
Sn (0.2379, 0.2379, 0.2505) (multiplicity 8)
Ge (0.0000, 0.0000, 0.4518) (multiplicity 2)



Record 3
VASP calculation (PBE) on crystalline Ac3Sn2Ge2 at its relaxed geometry.

The energy relative to the elements comes out at -673 meV per atom. For the total energy, the calculation gives -34.28 eV/f.u.

a b c (Å): 12.1375 4.7312 8.4207
angles (deg): 90.00 113.59 90.00
Space group C2/m (No. 12)
Symmetry-distinct sites (fractional):
Ac (0.0000, 0.0000, 0.0000) (multiplicity 2)
Ac (0.1854, 0.0000, 0.6512) (multiplicity 4)
Sn (0.0350, 0.5000, 0.3408) (multiplicity 4)
Ge (0.1956, 0.5000, 0.9275) (multiplicity 4)